(1)
Entry from Alexandria via LeMat-Bulk: crystalline NaHg6F8 at its relaxed geometry (PBE).

Cell: 8.1709 8.1709 15.3974 Å, 90.00 90.00 120.00°
Space group R-3m (No. 166, hexagonal axes)
One atom of each set of equivalent atoms:
Na: 0.0000 0.0000 0.0000
Hg: 0.0120 0.5060 0.9157
F: 0.0000 0.0000 0.4020
F: 0.0756 0.5378 0.7778

Values from the calculation:
As for the volume: 890.3 Å³/cell. The formation energy from raw total energies is -1.3046 eV per atom. Its uncorrected energy is -2.511 eV per atom. The calculation puts the magnetization at 0.0 Bohr magnetons per cell.

=====

(2)
Entry from Alexandria via LeMat-Bulk: crystalline CdHgP2 at its relaxed geometry (PBE).

Cell: 3.187 5.469 10.569 Å, 90.00 90.00 90.00°
Space group Cmm2 (No. 35)
One atom of each set of equivalent atoms:
Cd: 0.000 0.000 0.000
Hg: 0.000 0.500 0.287
P: 0.000 0.000 0.583
P: 0.000 0.500 0.723

Values from the calculation:
As for the volume: 184.2 Å³/cell. The value obtained for the formation enthalpy at 0 K is 290 meV/atom. Its uncorrected energy is -2.719 eV per atom. The calculation puts the magnetization at 0.0 Bohr magnetons per cell.

=====

(3)
Entry from Alexandria via LeMat-Bulk: crystalline AcPr3Sm4 at its relaxed geometry (PBE).

Cell: 12.007 7.483 6.457 Å, 90.00 90.00 90.00°
Space group Pmn2_1 (No. 31)
One atom of each set of equivalent atoms:
Ac: 0.000 0.127 0.000
Pr: 0.000 0.869 0.496
Pr: 0.249 0.130 0.658
Sm: 0.000 0.382 0.492
Sm: 0.000 0.622 0.992
Sm: 0.248 0.620 0.663

Values from the calculation:
As for the volume: 580.2 Å³/cell. The value obtained for the formation enthalpy at 0 K is 42 meV/atom. Its uncorrected energy is -4.623 eV per atom. The calculation puts the magnetization at 0.0 Bohr magnetons per cell.

=====

(4)
Entry from Alexandria via LeMat-Bulk: crystalline LaPrZnRu at its relaxed geometry (PBE).

Cell: 4.254 4.188 11.276 Å, 90.00 90.00 90.00°
Space group Amm2 (No. 38)
One atom of each set of equivalent atoms:
La: 0.000 0.000 0.000
Pr: 0.500 0.000 0.277
Zn: 0.000 0.000 0.703
Ru: 0.500 0.000 0.564

Values from the calculation:
As for the volume: 200.9 Å³/cell. The value obtained for the formation enthalpy at 0 K is -251 meV/atom. Its uncorrected energy is -5.315 eV per atom. The calculation puts the magnetization at 0.0 Bohr magnetons per cell.

=====

(5)
Entry from Alexandria via LeMat-Bulk: crystalline TbY2Tm5 at its relaxed geometry (PBE).

Cell: 7.036 7.036 9.935 Å, 90.00 90.00 90.00°
Space group I4mm (No. 107)
One atom of each set of equivalent atoms:
Tb: 0.000 0.000 0.000
Y: 0.000 0.500 0.000
Tm: 0.000 0.000 0.499
Tm: 0.250 0.250 0.250

Values from the calculation:
As for the volume: 491.8 Å³/cell. The value obtained for the formation enthalpy at 0 K is 28 meV/atom. Its uncorrected energy is -4.961 eV per atom. The calculation puts the magnetization at 0.0 Bohr magnetons per cell.

=====

(6)
Entry from Alexandria via LeMat-Bulk: crystalline KBaLa2 at its relaxed geometry (PBE).

Cell: 7.611 13.776 3.853 Å, 90.00 113.16 90.00°
Space group C2/m (No. 12)
One atom of each set of equivalent atoms:
K: 0.000 0.000 0.000
Ba: 0.000 0.500 0.000
La: 0.250 0.250 0.500

Values from the calculation:
As for the volume: 371.5 Å³/cell. The value obtained for the formation enthalpy at 0 K is 352 meV/atom. Its uncorrected energy is -2.867 eV per atom. The calculation puts the magnetization at 0.0 Bohr magnetons per cell.

=====

(7)
Entry from Alexandria via LeMat-Bulk: crystalline Na2In5Pt3 at its relaxed geometry (PBE).

Cell: 4.555 26.716 7.234 Å, 90.00 90.00 90.00°
Space group Cmc2_1 (No. 36)
One atom of each set of equivalent atoms:
Na: 0.000 0.021 0.000
Na: 0.000 0.327 0.943
In: 0.000 0.098 0.631
In: 0.000 0.206 0.156
In: 0.000 0.208 0.726
In: 0.000 0.379 0.492
In: 0.000 0.451 0.832
Pt: 0.000 0.107 0.246
Pt: 0.000 0.276 0.439
Pt: 0.000 0.451 0.219

Values from the calculation:
As for the volume: 880.4 Å³/cell. The value obtained for the formation enthalpy at 0 K is -419 meV/atom. Its uncorrected energy is -3.864 eV per atom. The calculation puts the magnetization at 0.0 Bohr magnetons per cell.